Crystalline FeF at its relaxed geometry, computed with PBE+U.

V = 31 Å³/cell
Energy above the lowest structure with this stoichiometry = 0.35 eV per formula unit
Final energy = -4.91 eV per atom
Space group = Cmmm, No. 65
Magnetization = 3.6 Bohr magnetons per cell
DOS(E_F) = 0.208 states/eV/atom

```
FeF
1.0
6.5689 -0.3552 0.2325
-2.0459 2.3043 -0.0003
-2.5106 -2.2247 1.9907
F Fe
1 1
Cartesian
-3.6219 0.0491 1.6886 F
-2.3665 1.1612 0.6931 Fe
```



Crystalline BaLaMn2O6 at its relaxed geometry, computed with PBE+U.

V = 124 Å³/cell
Energy above the lowest structure with this stoichiometry = 0.51 eV per formula unit
Final energy = -7.42 eV per atom
Space group = Fm-3m, No. 225
Magnetization = 7.0 Bohr magnetons per cell
DOS(E_F) = 0.137 states/eV/atom

```
BaLaMn2O6
1.0
-2.8008 2.8008 3.9620
2.8008 -2.8008 3.9620
2.8008 2.8008 -3.9620
Ba O Mn La
1 6 2 1
Cartesian
0.0000 2.8008 1.9810 Ba
1.4004 -1.4004 3.9620 O
1.4004 1.4004 3.9620 O
-1.4004 1.4004 3.9620 O
1.4004 1.4004 0.0000 O
0.0000 0.0000 5.9431 O
0.0000 0.0000 1.9809 O
0.0000 0.0000 3.9620 Mn
0.0000 0.0000 0.0000 Mn
2.8008 0.0000 1.9810 La
```